This record from Alexandria via LeMat-Bulk describes a relaxed structure of Sm2GaCu7. The functional is PBE.

Calculated values
**E_form**: -190 meV/atom

Cell: 4.0510 4.0510 10.2206 Å, 90.00 90.00 90.00°
With the nearest neighbours (Å) after each atom.
Fractional coordinates of all 10 atoms:
Sm 0.0000 0.5000 0.2448  14 Cu 3.09-3.30, 2 Ga 3.30
Sm 0.5000 0.0000 0.7552  14 Cu 3.09-3.30, 2 Ga 3.30
Ga 0.0000 0.0000 0.5000  4 Cu 2.46
Cu 0.0000 0.0000 0.0000  4 Cu 2.42
Cu 0.0000 0.5000 0.6372  3 Cu 2.38-2.46, 2 Ga 2.46
Cu 0.0000 0.5000 0.8697  5 Cu 2.38-2.42
Cu 0.5000 0.0000 0.1303  5 Cu 2.38-2.42
Cu 0.5000 0.0000 0.3628  3 Cu 2.38-2.46, 2 Ga 2.46
Cu 0.5000 0.5000 0.0000  4 Cu 2.42
Cu 0.5000 0.5000 0.5000  4 Cu 2.46